(a)
A geometry-optimized BaSBrCl2 structure. Source: Alexandria via LeMat-Bulk, functional PBE-GGA.

The structure in extended XYZ format:
```
5
Lattice="5.9670 0.0000 0.0000 0.0000 5.9670 0.0000 0.0000 0.0000 6.7099" Properties=species:S:1:pos:R:3 pbc="T T T"
S 0.0000 0.0000 3.3549
Ba 0.0000 0.0000 0.0000
Br 2.9835 2.9835 3.3549
Cl 0.0000 2.9835 0.0000
Cl 2.9835 0.0000 0.0000
```

Results
* mass density: 2.226 Mg/m³
* calculated volume: 47.8 Å³ per atom
* SG: No. 123
* size of the total moment: 0.609 μB/atom

(b)
A geometry-optimized BaSBrCl2 structure. Source: Alexandria via LeMat-Bulk, functional PBE-GGA.

The structure in extended XYZ format:
```
5
Lattice="5.5395 0.0000 0.0000 0.0000 5.5395 0.0000 0.0000 0.0000 4.9099" Properties=species:S:1:pos:R:3 pbc="T T T"
S 0.0000 0.0000 2.4549
Ba 2.7697 2.7697 2.4549
Br 0.0000 0.0000 0.0000
Cl 0.0000 2.7697 0.0000
Cl 2.7697 0.0000 0.0000
```

Results
* mass density: 3.529 Mg/m³
* calculated volume: 30.1 Å³ per atom
* SG: No. 123
* size of the total moment: 0.000 μB/atom

Bottom line: (b), by a margin of 0.185 eV/atom.

(a)
A geometry-optimized BaS2BrCl structure. Source: Alexandria via LeMat-Bulk, functional PBE-GGA.

The structure in extended XYZ format:
```
5
Lattice="-3.9230 0.6113 2.7801 -2.1707 -3.7046 -2.2487 2.3439 -3.9019 4.1655" Properties=species:S:1:pos:R:3 pbc="T T T"
S -1.0854 -1.8523 -1.1243
S -1.9615 0.3056 1.3900
Ba -1.8749 -3.4976 2.3485
Br 0.0000 0.0000 0.0000
Cl 1.1720 -1.9509 2.0827
```

Results
* mass density: 3.629 Mg/m³
* calculated volume: 29.0 Å³ per atom
* SG: No. 123
* size of the total moment: 0.000 μB/atom

(b)
A geometry-optimized BaS2BrCl structure. Source: Alexandria via LeMat-Bulk, functional PBE-GGA.

The structure in extended XYZ format:
```
5
Lattice="6.4701 0.0000 0.0000 0.0000 6.4701 0.0000 0.0000 0.0000 5.8090" Properties=species:S:1:pos:R:3 pbc="T T T"
S 0.0000 3.2350 0.0000
S 3.2350 0.0000 0.0000
Ba 0.0000 0.0000 0.0000
Br 3.2350 3.2350 2.9045
Cl 0.0000 0.0000 2.9045
```

Results
* mass density: 2.163 Mg/m³
* calculated volume: 48.6 Å³ per atom
* SG: No. 123
* size of the total moment: 0.801 μB/atom

Bottom line: (a), by a margin of 0.486 eV/atom.

(a)
A geometry-optimized BaSeBr2Cl structure. Source: Alexandria via LeMat-Bulk, functional PBE-GGA.

The structure in extended XYZ format:
```
5
Lattice="6.2609 0.0000 0.0000 0.0000 6.2609 0.0000 0.0000 0.0000 6.9558" Properties=species:S:1:pos:R:3 pbc="T T T"
Se 0.0000 0.0000 3.4779
Ba 0.0000 0.0000 0.0000
Br 0.0000 3.1305 0.0000
Br 3.1305 0.0000 0.0000
Cl 3.1305 3.1305 3.4779
```

Results
* mass density: 2.506 Mg/m³
* calculated volume: 54.5 Å³ per atom
* SG: No. 123
* size of the total moment: 0.610 μB/atom

(b)
A geometry-optimized BaSeBr2Cl structure. Source: Alexandria via LeMat-Bulk, functional PBE-GGA.

The structure in extended XYZ format:
```
5
Lattice="5.5592 0.0000 0.0000 0.0000 5.5592 0.0000 0.0000 0.0000 5.0994" Properties=species:S:1:pos:R:3 pbc="T T T"
Se 0.0000 0.0000 2.5497
Ba 2.7796 2.7796 2.5497
Br 0.0000 2.7796 0.0000
Br 2.7796 0.0000 0.0000
Cl 0.0000 0.0000 0.0000
```

Results
* mass density: 4.336 Mg/m³
* calculated volume: 31.5 Å³ per atom
* SG: No. 123
* size of the total moment: 0.131 μB/atom

Bottom line: (b), by a margin of 0.212 eV/atom.